Entry from the Alexandria database: a relaxed structure of SrNd3Ru (PBE-GGA).

Computed properties:
Space-group type   Pm-3m, No. 221
Final energy   -25.56 eV/cell
Calculated volume   181 Å³ per cell
Magnetic moment   0.0 μB per formula unit

The structure in CIF format:
```
data_SrNd3Ru
_chemical_formula_sum 'Sr1 Nd3 Ru1'
_space_group_name_H-M_alt 'P 1'
_space_group_IT_number 1
_cell_length_a 5.654
_cell_length_b 5.654
_cell_length_c 5.654
_cell_angle_alpha 90.00
_cell_angle_beta 90.00
_cell_angle_gamma 90.00
loop_
_space_group_symop_operation_xyz
'x,y,z'
loop_
_atom_site_label
_atom_site_fract_x
_atom_site_fract_y
_atom_site_fract_z
_atom_site_occupancy
Sr1 0.000 0.000 0.000 1
Nd1 0.000 0.500 0.500 1
Nd2 0.500 0.000 0.500 1
Nd3 0.500 0.500 0.000 1
Ru1 0.500 0.500 0.500 1
```